Entry 1:
## Ba3In2N (GGA-PBE)

Data for an optimized crystal structure of Ba3In2N.

```
Ba3In2N
1.0
-8.074 1.734 -0.189
3.480 -2.712 6.984
1.470 7.065 2.011
In N Ba
4 2 6
Cartesian
0.998 5.352 6.467 In
-3.588 3.302 3.070 In
-4.123 0.734 2.339 In
0.464 2.785 5.736 In
0.000 0.000 0.000 N
0.735 3.533 1.006 N
-3.330 4.856 6.304 Ba
-2.388 0.678 6.339 Ba
-5.295 6.387 2.361 Ba
-0.736 5.409 2.467 Ba
2.171 -0.301 6.446 Ba
0.206 1.231 2.502 Ba
```

Computed properties:
- V (Å³ per atom) = 36.9
- Fermi-level density of states (states/eV per atom) = 0.8620
- uncorrected formation energy (meV per atom) = -338

Entry 2:
## Li2ScNi (GGA-PBE)

Data for an optimized crystal structure of Li2ScNi.

```
Li2ScNi
1.0
0.000 3.109 3.109
3.109 0.000 3.109
3.109 3.109 0.000
Sc Li Ni
1 2 1
Cartesian
0.000 0.000 0.000 Sc
4.664 4.664 4.664 Li
1.555 1.555 1.555 Li
3.109 3.109 3.109 Ni
```

Computed properties:
- V (Å³ per atom) = 15.0
- excess energy over the best structure of this formula in the dataset (meV per atom) = 239.6
- Fermi-level density of states (states/eV per atom) = 1.6549
- formation energy from the elements (eV per formula unit) = 0.6

Entry 3:
## Tb3Nd4Y3 (GGA-PBE)

Data for an optimized crystal structure of Tb3Nd4Y3.

```
Tb3Nd4Y3
1.0
-3.523 -1.374 -0.607
3.646 -8.307 -2.358
-0.477 -2.730 8.955
Nd Y Tb
4 3 3
Cartesian
0.413 -1.446 0.878 Nd
1.048 -4.793 4.771 Nd
2.129 -6.254 1.806 Nd
2.749 -9.581 5.740 Nd
-0.237 -1.373 4.486 Y
1.342 -6.873 7.772 Y
-1.544 -4.357 6.745 Y
1.191 -8.057 -0.759 Tb
0.356 -8.061 4.102 Tb
-0.709 -4.352 1.885 Tb
```

Computed properties:
- V (Å³ per atom) = 33.7
- Fermi-level density of states (states/eV per atom) = 0.8637
- formation energy from the elements (eV per formula unit) = 0.9

Entry 4:
## MgTl2SbCl6 (GGA-PBE)

Data for an optimized crystal structure of MgTl2SbCl6.

```
MgTl2SbCl6
1.0
-1.508 -5.312 4.520
2.397 -4.803 -4.609
6.234 -5.262 1.836
Cl Tl Mg Sb
6 2 1 1
Cartesian
2.102 -5.485 -2.109 Cl
3.232 -9.680 0.427 Cl
3.891 -5.697 1.321 Cl
5.021 -9.892 3.857 Cl
6.498 -12.928 2.319 Cl
0.625 -2.449 -0.571 Cl
2.518 -7.961 2.969 Tl
4.605 -7.417 -1.221 Tl
0.000 0.000 0.000 Mg
0.445 -5.057 -0.044 Sb
```

Computed properties:
- V (Å³ per atom) = 30.4
- uncorrected formation energy (meV per atom) = -1089

Entry 5:
## Hg2MoPb (GGA-PBE)

Data for an optimized crystal structure of Hg2MoPb.

```
Hg2MoPb
1.0
-3.449 -3.872 -0.022
1.703 -1.528 2.016
-2.715 2.394 4.108
Hg Pb Mo
2 1 1
Cartesian
-2.317 -1.417 1.459 Hg
-2.424 2.134 4.244 Hg
-2.759 -1.040 4.430 Pb
-0.181 0.143 3.140 Mo
```

Computed properties:
- V (Å³ per atom) = 21.6
- Fermi-level density of states (states/eV per atom) = 0.2843
- formation energy from the elements (eV per formula unit) = 2.4

Entry 6:
## K3YSn (GGA-PBE)

Data for an optimized crystal structure of K3YSn.

```
K3YSn
1.0
6.667 0.000 0.000
0.000 6.667 0.000
0.000 0.000 6.667
Y K Sn
1 3 1
Cartesian
3.333 3.333 3.333 Y
0.000 3.333 0.000 K
0.000 0.000 3.333 K
3.333 0.000 0.000 K
0.000 0.000 0.000 Sn
```

Computed properties:
- V (Å³ per atom) = 59.3
- excess energy over the best structure of this formula in the dataset (meV per atom) = 0.0
- Fermi-level density of states (states/eV per atom) = 1.2984
- formation energy from the elements (eV per formula unit) = 3.2